Below is a relaxed ReSiNiMo crystal, with properties calculated at the PBE-GGA level.

As for the crystal system: cubic. The total energy is -34.1 eV/cell. Its total magnetization is 0.200 μB/f.u. The value obtained for the density is 11.28 g/cm3.

Geometry as POSCAR:
```
ReSiNiMo
1.0
0.000 3.005 3.005
3.005 0.000 3.005
3.005 3.005 0.000
Re Si Ni Mo
1 1 1 1
direct
0.000 0.000 0.000
0.500 0.500 0.500
0.750 0.750 0.750
0.250 0.250 0.250
```